Density functional theory data (PBE) for a relaxed ScTlZnAg crystal.

## Properties
DOS(E_F) ... 2.9 states/eV/f.u.
Formation energy ... -0.1165 eV per atom
Symmetry ... F-43m

a b c (Å): 4.8192 4.8192 4.8192
angles (deg): 60.00 60.00 60.00
With the nearest neighbours (Å) after each atom.
Atoms (fractional coordinates):
Tl 0.0000 0.0000 0.0000  4 Ag 2.95, 4 Sc 2.95
Zn 0.5000 0.5000 0.5000  4 Sc 2.95, 4 Ag 2.95
Ag 0.2500 0.2500 0.2500  4 Zn 2.95, 4 Tl 2.95
Sc 0.7500 0.7500 0.7500  4 Tl 2.95, 4 Zn 2.95